Record 1
# POs PBE relaxed
data_POs
_space_group_name_H-M_alt 'P 1'
_space_group_IT_number 1
_space_group_name_Hall 'P 1'
_cell_length_a 2.9651
_cell_length_b 2.9651
_cell_length_c 2.9651
_cell_angle_alpha 90.00
_cell_angle_beta 90.00
_cell_angle_gamma 90.00
loop_
_atom_site_label
_atom_site_type_symbol
_atom_site_fract_x
_atom_site_fract_y
_atom_site_fract_z
_atom_site_occupancy
P1 P 0.0000 0.0000 0.0000 1
Os1 Os 0.5000 0.5000 0.5000 1
# calculated total energy = -8.1966 eV per atom
# DFT formation energy = 0.1232 eV per atom


Record 2
# Rb2TaRu PBE relaxed
data_Rb2TaRu
_space_group_name_H-M_alt 'P 1'
_space_group_IT_number 1
_space_group_name_Hall 'P 1'
_cell_length_a 5.4082
_cell_length_b 5.4082
_cell_length_c 5.4082
_cell_angle_alpha 60.00
_cell_angle_beta 60.00
_cell_angle_gamma 60.00
loop_
_atom_site_label
_atom_site_type_symbol
_atom_site_fract_x
_atom_site_fract_y
_atom_site_fract_z
_atom_site_occupancy
Ta1 Ta 0.5000 0.5000 0.5000 1
Rb1 Rb 0.7500 0.7500 0.7500 1
Rb2 Rb 0.2500 0.2500 0.2500 1
Ru1 Ru 0.0000 0.0000 0.0000 1
# calculated total energy = -3.1542 eV per atom
# DFT formation energy = 2.6117 eV per atom
# distance to the lowest polymorph of the same formula = 1279 meV/atom


Record 3
# Rb2SbPb4Au3 PBE relaxed
data_Rb2SbPb4Au3
_space_group_name_H-M_alt 'P 1'
_space_group_IT_number 1
_space_group_name_Hall 'P 1'
_cell_length_a 5.1778
_cell_length_b 5.1778
_cell_length_c 11.9244
_cell_angle_alpha 90.00
_cell_angle_beta 90.00
_cell_angle_gamma 90.00
loop_
_atom_site_label
_atom_site_type_symbol
_atom_site_fract_x
_atom_site_fract_y
_atom_site_fract_z
_atom_site_occupancy
Au1 Au 0.0000 0.5000 0.1192 1
Au2 Au 0.0000 0.0000 0.5000 1
Au3 Au 0.5000 0.0000 0.8808 1
Rb1 Rb 0.0000 0.5000 0.7446 1
Rb2 Rb 0.5000 0.0000 0.2554 1
Pb1 Pb 0.0000 0.0000 0.0000 1
Pb2 Pb 0.5000 0.5000 0.0000 1
Pb3 Pb 0.0000 0.5000 0.3628 1
Pb4 Pb 0.5000 0.0000 0.6372 1
Sb1 Sb 0.5000 0.5000 0.5000 1
# calculated total energy = -3.2373 eV per atom
# formation energy from raw total energies = -1.65 eV per formula unit


Total magnetization (μB per formula unit)
0.00, 0.00, 0.00